# 1
SrMgTa2 | PBE | optimized geometry

a b c (Å): 11.2856 11.2856 11.2856
angles (deg): 15.44 15.44 15.44
Fractional coordinates of all 4 atoms:
Sr  0.0000  0.0000  0.0000
Mg  0.5000  0.5000  0.5000
Ta  0.2434  0.2434  0.2434
Ta  0.7566  0.7566  0.7566

Energy of formation   0.81 eV per atom
Volume   88.7 Å³ per cell

---

# 2
Tb5DyY6 | PBE | optimized geometry

a b c (Å): 7.9768 7.9768 6.1672
angles (deg): 97.48 97.48 84.22
Fractional coordinates of all 12 atoms:
Tb  0.0000  0.0000  0.0000
Tb  0.1667  0.8333  0.5000
Tb  0.3334  0.6666  0.0000
Tb  0.6666  0.3334  0.0000
Tb  0.8333  0.1667  0.5000
Dy  0.5000  0.5000  0.5000
Y  0.0835  0.4168  0.2500
Y  0.2501  0.2501  0.7500
Y  0.4168  0.0835  0.2500
Y  0.5832  0.9165  0.7500
Y  0.7499  0.7499  0.2500
Y  0.9165  0.5832  0.7500

Energy of formation   0.02 eV per atom
Volume   384.4 Å³ per cell
Energy relative to the lowest polymorph listed for this composition   2 meV/atom

---

# 3
Pa3Si2Tc5 | PBE | optimized geometry

a b c (Å): 8.5393 8.5393 8.5393
angles (deg): 99.65 94.40 139.08
Fractional coordinates of all 20 atoms:
Pa  0.1198  0.7297  0.8495
Pa  0.2500  0.2500  0.0000
Pa  0.3802  0.2297  0.6100
Pa  0.6198  0.7703  0.3900
Pa  0.7500  0.7500  0.0000
Pa  0.8802  0.2703  0.1505
Si  0.1339  0.1727  0.3066
Si  0.3661  0.6727  0.0388
Si  0.6339  0.3273  0.9612
Si  0.8661  0.8273  0.6934
Tc  0.0362  0.2500  0.7862
Tc  0.1342  0.3886  0.5228
Tc  0.2500  0.7500  0.5000
Tc  0.3658  0.8886  0.2544
Tc  0.4638  0.2500  0.2138
Tc  0.5362  0.7500  0.7862
Tc  0.6342  0.1114  0.7456
Tc  0.7500  0.2500  0.5000
Tc  0.8658  0.6114  0.4772
Tc  0.9638  0.7500  0.2138

Volume   381.6 Å³ per cell
Uncorrected formation energy   -0.172 eV/atom

---

Number 1: density of states at the Fermi level 6.099 states/eV/f.u.. Number 2: density of states at the Fermi level 18.214 states/eV/f.u.. Number 3: density of states at the Fermi level 12.849 states/eV/f.u..